# 1
Here is an optimized crystal structure of Sr2Zn6Ga3 from Alexandria. Energies are from GGA-PBE.

The structure in CIF format:
```
data_Sr2Zn6Ga3
_chemical_formula_sum 'Sr2 Zn6 Ga3'
_cell_length_a 7.8710
_cell_length_b 7.8710
_cell_length_c 4.2697
_cell_angle_alpha 90.00
_cell_angle_beta 90.00
_cell_angle_gamma 120.00
_space_group_name_H-M_alt 'P -6 2 m'
_space_group_IT_number 189
_space_group_name_Hall 'P -6 -2'
loop_
_atom_site_label
_atom_site_type_symbol
_atom_site_fract_x
_atom_site_fract_y
_atom_site_fract_z
Sr1 Sr 0.3333 0.6667 0.0000
Zn1 Zn 0.0000 0.2926 0.5000
Zn2 Zn 0.0000 0.8119 0.0000
Ga1 Ga 0.0000 0.6332 0.5000
```

energy relative to the elements	-283.8	kJ/mol of formula units

***

# 2
Here is an optimized crystal structure of SrZn3Ga3 from Alexandria. Energies are from GGA-PBE.

The structure in CIF format:
```
data_SrZn3Ga3
_chemical_formula_sum 'Sr2 Zn6 Ga6'
_cell_length_a 7.040
_cell_length_b 7.040
_cell_length_c 7.040
_cell_angle_alpha 90.00
_cell_angle_beta 90.00
_cell_angle_gamma 90.00
_space_group_name_H-M_alt 'P m -3 n'
_space_group_IT_number 223
_space_group_name_Hall '-P 4n 2 3'
loop_
_atom_site_label
_atom_site_type_symbol
_atom_site_fract_x
_atom_site_fract_y
_atom_site_fract_z
Sr1 Sr 0.000 0.000 0.000
Zn1 Zn 0.000 0.250 0.500
Ga1 Ga 0.000 0.500 0.250
```

E above lowest polymorph	0.359	eV per formula unit
energy relative to the elements	2.7	kJ/mol of formula units

***

# 3
Here is an optimized crystal structure of SrZnGa3 from Alexandria. Energies are from GGA-PBE.

The structure in CIF format:
```
data_SrZnGa3
_chemical_formula_sum 'Sr1 Zn1 Ga3'
_cell_length_a 4.978
_cell_length_b 4.978
_cell_length_c 4.978
_cell_angle_alpha 90.00
_cell_angle_beta 90.00
_cell_angle_gamma 90.00
_space_group_name_H-M_alt 'P m -3 m'
_space_group_IT_number 221
_space_group_name_Hall '-P 4 2 3'
loop_
_atom_site_label
_atom_site_type_symbol
_atom_site_fract_x
_atom_site_fract_y
_atom_site_fract_z
Sr1 Sr 0.000 0.000 0.000
Zn1 Zn 0.500 0.500 0.500
Ga1 Ga 0.000 0.500 0.500
```

energy relative to the elements	-21.0	kJ/mol of formula units

***

# 4
Here is an optimized crystal structure of SrZn4Ga2 from Alexandria. Energies are from GGA-PBE.

The structure in CIF format:
```
data_SrZn4Ga2
_chemical_formula_sum 'Sr2 Zn8 Ga4'
_cell_length_a 4.307
_cell_length_b 14.493
_cell_length_c 4.279
_cell_angle_alpha 90.00
_cell_angle_beta 90.00
_cell_angle_gamma 90.00
_space_group_name_H-M_alt 'C m m m'
_space_group_IT_number 65
_space_group_name_Hall '-C 2 2'
loop_
_atom_site_label
_atom_site_type_symbol
_atom_site_fract_x
_atom_site_fract_y
_atom_site_fract_z
Sr1 Sr 0.000 0.000 0.000
Zn1 Zn 0.000 0.188 0.500
Zn2 Zn 0.000 0.308 0.000
Ga1 Ga 0.000 0.410 0.500
```

energy relative to the elements	-160.9	kJ/mol of formula units

***

# 5
Here is an optimized crystal structure of SrZn2Ga from Alexandria. Energies are from GGA-PBE.

The structure in CIF format:
```
data_SrZn2Ga
_chemical_formula_sum 'Sr4 Zn8 Ga4'
_cell_length_a 7.162
_cell_length_b 4.298
_cell_length_c 11.586
_cell_angle_alpha 90.00
_cell_angle_beta 90.00
_cell_angle_gamma 90.00
_space_group_name_H-M_alt 'A m m 2'
_space_group_IT_number 38
loop_
_space_group_symop_operation_xyz
'x,y,z'
'-x,-y,z'
'-x,y,z'
'x,-y,z'
'x,y+1/2,z+1/2'
'-x,-y+1/2,z+1/2'
'-x,y+1/2,z+1/2'
'x,-y+1/2,z+1/2'
loop_
_atom_site_label
_atom_site_type_symbol
_atom_site_fract_x
_atom_site_fract_y
_atom_site_fract_z
Sr1 Sr 0.000 0.000 0.000
Sr2 Sr 0.500 0.000 0.117
Zn1 Zn 0.000 0.000 0.285
Zn2 Zn 0.314 0.000 0.398
Zn3 Zn 0.500 0.000 0.837
Ga1 Ga 0.188 0.000 0.712
```

energy relative to the elements	-108.0	kJ/mol of formula units

***

# 6
Here is an optimized crystal structure of Sr3Zn2Ga4 from Alexandria. Energies are from GGA-PBE.

The structure in CIF format:
```
data_Sr3Zn2Ga4
_chemical_formula_sum 'Sr6 Zn4 Ga8'
_cell_length_a 11.728
_cell_length_b 4.511
_cell_length_c 8.956
_cell_angle_alpha 90.00
_cell_angle_beta 102.35
_cell_angle_gamma 90.00
_space_group_name_H-M_alt 'C 1 2/m 1'
_space_group_IT_number 12
loop_
_space_group_symop_operation_xyz
'x,y,z'
'-x,-y,-z'
'-x,y,-z'
'x,-y,z'
'x+1/2,y+1/2,z'
'-x+1/2,-y+1/2,-z'
'-x+1/2,y+1/2,-z'
'x+1/2,-y+1/2,z'
loop_
_atom_site_label
_atom_site_type_symbol
_atom_site_fract_x
_atom_site_fract_y
_atom_site_fract_z
Sr1 Sr 0.000 0.000 0.000
Sr2 Sr 0.168 0.500 0.667
Zn1 Zn 0.111 0.500 0.280
Ga1 Ga 0.057 0.000 0.393
Ga2 Ga 0.220 0.500 0.054
```

E above lowest polymorph	0.000	eV per formula unit
energy relative to the elements	-354.6	kJ/mol of formula units

***

# 7
Here is an optimized crystal structure of Sr2Zn5Ga from Alexandria. Energies are from GGA-PBE.

The structure in CIF format:
```
data_Sr2Zn5Ga
_chemical_formula_sum 'Sr8 Zn20 Ga4'
_cell_length_a 4.601
_cell_length_b 16.816
_cell_length_c 9.193
_cell_angle_alpha 90.00
_cell_angle_beta 90.00
_cell_angle_gamma 90.00
_space_group_name_H-M_alt 'C m c m'
_space_group_IT_number 63
_space_group_name_Hall '-C 2c 2'
loop_
_atom_site_label
_atom_site_type_symbol
_atom_site_fract_x
_atom_site_fract_y
_atom_site_fract_z
Sr1 Sr 0.000 0.000 0.000
Sr2 Sr 0.000 0.205 0.250
Zn1 Zn 0.000 0.184 0.609
Zn2 Zn 0.000 0.349 0.516
Zn3 Zn 0.000 0.405 0.250
Ga1 Ga 0.000 0.439 0.750
```

energy relative to the elements	-200.0	kJ/mol of formula units

***

# 8
Here is an optimized crystal structure of Sr2Zn2Ga from Alexandria. Energies are from GGA-PBE.

The structure in CIF format:
```
data_Sr2Zn2Ga
_chemical_formula_sum 'Sr4 Zn4 Ga2'
_cell_length_a 3.843
_cell_length_b 3.843
_cell_length_c 19.275
_cell_angle_alpha 90.00
_cell_angle_beta 90.00
_cell_angle_gamma 90.00
_space_group_name_H-M_alt 'I 4/m m m'
_space_group_IT_number 139
_space_group_name_Hall '-I 4 2'
loop_
_atom_site_label
_atom_site_type_symbol
_atom_site_fract_x
_atom_site_fract_y
_atom_site_fract_z
Sr1 Sr 0.000 0.000 0.102
Zn1 Zn 0.000 0.500 0.250
Ga1 Ga 0.000 0.000 0.500
```

energy relative to the elements	-64.7	kJ/mol of formula units

***

# 9
Here is an optimized crystal structure of Sr2Zn3Ga2 from Alexandria. Energies are from GGA-PBE.

The structure in CIF format:
```
data_Sr2Zn3Ga2
_chemical_formula_sum 'Sr4 Zn6 Ga4'
_cell_length_a 11.589
_cell_length_b 4.425
_cell_length_c 7.049
_cell_angle_alpha 90.00
_cell_angle_beta 109.57
_cell_angle_gamma 90.00
_space_group_name_H-M_alt 'C 1 2/m 1'
_space_group_IT_number 12
loop_
_space_group_symop_operation_xyz
'x,y,z'
'-x,-y,-z'
'-x,y,-z'
'x,-y,z'
'x+1/2,y+1/2,z'
'-x+1/2,-y+1/2,-z'
'-x+1/2,y+1/2,-z'
'x+1/2,-y+1/2,z'
loop_
_atom_site_label
_atom_site_type_symbol
_atom_site_fract_x
_atom_site_fract_y
_atom_site_fract_z
Sr1 Sr 0.172 0.000 0.238
Zn1 Zn 0.000 0.500 0.500
Zn2 Zn 0.059 0.500 0.878
Ga1 Ga 0.109 0.000 0.700
```

E above lowest polymorph	0.000	eV per formula unit
energy relative to the elements	-194.0	kJ/mol of formula units

***

# 10
Here is an optimized crystal structure of SrZnGa2 from Alexandria. Energies are from GGA-PBE.

The structure in CIF format:
```
data_SrZnGa2
_chemical_formula_sum 'Sr4 Zn4 Ga8'
_cell_length_a 4.907
_cell_length_b 4.907
_cell_length_c 17.656
_cell_angle_alpha 90.00
_cell_angle_beta 90.00
_cell_angle_gamma 90.00
_space_group_name_H-M_alt 'I -4 2 d'
_space_group_IT_number 122
_space_group_name_Hall 'I -4 2bw'
loop_
_atom_site_label
_atom_site_type_symbol
_atom_site_fract_x
_atom_site_fract_y
_atom_site_fract_z
Sr1 Sr 0.000 0.000 0.000
Zn1 Zn 0.000 0.000 0.500
Ga1 Ga 0.066 0.250 0.625
```

energy relative to the elements	-70.7	kJ/mol of formula units

***

Number 1: total magnetic moment 0.0000 μB per atom. Number 2: total magnetic moment 0.0000 μB per atom. Number 3: total magnetic moment 0.0000 μB per atom. Number 4: total magnetic moment 0.0000 μB per atom. Number 5: total magnetic moment 0.0000 μB per atom. Number 6: total magnetic moment 0.0000 μB per atom. Number 7: total magnetic moment 0.0000 μB per atom. Number 8: total magnetic moment 0.0000 μB per atom. Number 9: total magnetic moment 0.0000 μB per atom. Number 10: total magnetic moment 0.0000 μB per atom.